(1)
## Mg2ZrRe (PBE)

Data for Mg2ZrRe after structural relaxation.

Geometry as CIF:
```
data_Mg2ZrRe
_chemical_formula_sum 'Mg8 Zr4 Re4'
_symmetry_space_group_name_H-M 'I -4 2 d'
_symmetry_Int_Tables_number 122
_symmetry_space_group_name_Hall 'I -4 2bw'
_cell_length_a 3.938
_cell_length_b 3.938
_cell_length_c 20.846
_cell_angle_alpha 90.00
_cell_angle_beta 90.00
_cell_angle_gamma 90.00
loop_
_atom_site_label
_atom_site_type_symbol
_atom_site_fract_x
_atom_site_fract_y
_atom_site_fract_z
Mg1 Mg 0.233 0.250 0.125
Zr1 Zr 0.000 0.000 0.500
Re1 Re 0.000 0.000 0.000
```

Calculated values
**Raw total energy**: -5.512 eV/atom
**V**: 20.20 Å³/atom
**Relative energy among the computed polymorphs**: 0.432 eV/atom


(2)
## TcGePd3 (PBE)

Data for TcGePd3 after structural relaxation.

Geometry as CIF:
```
data_TcGePd3
_chemical_formula_sum 'Tc1 Ge1 Pd3'
_symmetry_space_group_name_H-M 'P m -3 m'
_symmetry_Int_Tables_number 221
_symmetry_space_group_name_Hall '-P 4 2 3'
_cell_length_a 4.786
_cell_length_b 4.786
_cell_length_c 4.786
_cell_angle_alpha 90.00
_cell_angle_beta 90.00
_cell_angle_gamma 90.00
loop_
_atom_site_label
_atom_site_type_symbol
_atom_site_fract_x
_atom_site_fract_y
_atom_site_fract_z
Tc1 Tc 0.000 0.000 0.000
Ge1 Ge 0.500 0.500 0.500
Pd1 Pd 0.000 0.000 0.500
```

Calculated values
**Raw total energy**: -4.954 eV/atom
**V**: 21.92 Å³/atom
**Relative energy among the computed polymorphs**: 0.471 eV/atom


(3)
## ReNiIr2 (PBE)

Data for ReNiIr2 after structural relaxation.

Geometry as CIF:
```
data_ReNiIr2
_chemical_formula_sum 'Re4 Ni4 Ir8'
_symmetry_space_group_name_H-M 'I -4 2 d'
_symmetry_Int_Tables_number 122
_symmetry_space_group_name_Hall 'I -4 2bw'
_cell_length_a 5.790
_cell_length_b 5.790
_cell_length_c 9.483
_cell_angle_alpha 90.00
_cell_angle_beta 90.00
_cell_angle_gamma 90.00
loop_
_atom_site_label
_atom_site_type_symbol
_atom_site_fract_x
_atom_site_fract_y
_atom_site_fract_z
Re1 Re 0.000 0.000 0.000
Ni1 Ni 0.000 0.000 0.500
Ir1 Ir 0.244 0.250 0.625
```

Calculated values
**Raw total energy**: -8.034 eV/atom
**V**: 19.87 Å³/atom
**Relative energy among the computed polymorphs**: 1.099 eV/atom


(4)
## CsNaTlHg (PBE)

Data for CsNaTlHg after structural relaxation.

Geometry as CIF:
```
data_CsNaTlHg
_chemical_formula_sum 'Cs3 Na3 Tl3 Hg3'
_symmetry_space_group_name_H-M 'R 3 m'
_symmetry_Int_Tables_number 160
_symmetry_space_group_name_Hall 'R 3 -2"'
_cell_length_a 5.3316
_cell_length_b 5.3316
_cell_length_c 20.8138
_cell_angle_alpha 90.00
_cell_angle_beta 90.00
_cell_angle_gamma 120.00
loop_
_atom_site_label
_atom_site_type_symbol
_atom_site_fract_x
_atom_site_fract_y
_atom_site_fract_z
Cs1 Cs 0.0000 0.0000 0.0000
Na1 Na 0.0000 0.0000 0.1885
Tl1 Tl 0.0000 0.0000 0.4678
Hg1 Hg 0.0000 0.0000 0.8038
```

Calculated values
**Raw total energy**: -1.358 eV/atom
**V**: 42.69 Å³/atom


(5)
## La3GaFeS7 (PBE)

Data for La3GaFeS7 after structural relaxation.

Geometry as CIF:
```
data_La3GaFeS7
_chemical_formula_sum 'La6 Ga2 Fe2 S14'
_symmetry_space_group_name_H-M 'P 63'
_symmetry_Int_Tables_number 173
_cell_length_a 9.9535
_cell_length_b 9.9535
_cell_length_c 6.3080
_cell_angle_alpha 90.00
_cell_angle_beta 90.00
_cell_angle_gamma 120.00
loop_
_symmetry_equiv_pos_as_xyz
'x,y,z'
'x-y,x,z+1/2'
'-y,x-y,z'
'-x,-y,z+1/2'
'-x+y,-x,z'
'y,-x+y,z+1/2'
loop_
_atom_site_label
_atom_site_type_symbol
_atom_site_fract_x
_atom_site_fract_y
_atom_site_fract_z
La1 La 0.1585 0.3733 0.0000
Ga1 Ga 0.3333 0.6667 0.4241
Fe1 Fe 0.0000 0.0000 0.3535
S1 S 0.0884 0.2050 0.6036
S2 S 0.0894 0.5650 0.2824
S3 S 0.3333 0.6667 0.7833
```

Calculated values
**Formation energy (no corrections)**: -1568 meV per atom
**Raw total energy**: -6.165 eV/atom
**V**: 22.55 Å³/atom


(6)
## KFeSi2 (PBE)

Data for KFeSi2 after structural relaxation.

Geometry as CIF:
```
data_KFeSi2
_chemical_formula_sum 'K4 Fe4 Si8'
_symmetry_space_group_name_H-M 'F m -3 m'
_symmetry_Int_Tables_number 225
_symmetry_space_group_name_Hall '-F 4 2 3'
_cell_length_a 6.366
_cell_length_b 6.366
_cell_length_c 6.366
_cell_angle_alpha 90.00
_cell_angle_beta 90.00
_cell_angle_gamma 90.00
loop_
_atom_site_label
_atom_site_type_symbol
_atom_site_fract_x
_atom_site_fract_y
_atom_site_fract_z
K1 K 0.000 0.000 0.000
Fe1 Fe 0.000 0.000 0.500
Si1 Si 0.250 0.250 0.250
```

Calculated values
**Formation energy (no corrections)**: 921 meV per atom
**Raw total energy**: -4.180 eV/atom
**V**: 16.12 Å³/atom
**Relative energy among the computed polymorphs**: 0.876 eV/atom